DFT (PBE+U) results for a relaxed structure of Rb2TaCrF6.

Cell lengths 6.3373, 6.3373, 6.3373 Å; angles 60.00, 60.00, 60.00 degrees
Atoms (fractional coordinates):
Rb  0.2500  0.2500  0.2500
Rb  0.7500  0.7500  0.7500
Ta  0.0000  0.0000  0.0000
Cr  0.5000  0.5000  0.5000
F  0.2339  0.2339  0.7661
F  0.2339  0.7661  0.2339
F  0.2339  0.7661  0.7661
F  0.7661  0.2339  0.2339
F  0.7661  0.2339  0.7661
F  0.7661  0.7661  0.2339

E in eV per atom: -5.616
Total moment in μB/f.u.: 6.980
Symmetry: Fm-3m (225)